# YRe2Pb

A PBEsol-optimized structure of YRe2Pb (meta-GGA SCAN, Alexandria).

a = 3.545 Å, b = 3.545 Å, c = 6.143 Å
α = 90.00°, β = 90.00°, γ = 90.00°
Fractional coordinates of all 4 atoms:
Y (0.500, 0.500, 0.000)
Re (0.000, 0.000, 0.722)
Re (0.000, 0.000, 0.278)
Pb (0.500, 0.500, 0.500)

Output
The density of states at the Fermi level is 4.04 states/eV/cell. The value obtained for the calculated formation energy is 0.78 eV/atom. The value obtained for the calculated total energy is -242.69 eV per formula unit.